# Ac8HgPb5, relaxed, DFT GGA-PBE
# DFT total energy: -117.5 eV for the cell shown
# ρ: 9.42 g cm⁻³
# Magnetization: 0.00 μB/atom
data_Ac8HgPb5
_cell_length_a 10.215
_cell_length_b 10.215
_cell_length_c 10.314
_cell_angle_alpha 90.00
_cell_angle_beta 90.00
_cell_angle_gamma 90.00
_space_group_name_H-M_alt 'I -4'
_space_group_IT_number 82
_space_group_name_Hall 'I -4'
loop_
_atom_site_label
_atom_site_type_symbol
_atom_site_fract_x
_atom_site_fract_y
_atom_site_fract_z
_atom_site_occupancy
Ac1 Ac 0.067 0.317 0.054 1
Ac2 Ac 0.074 0.182 0.692 1
Hg1 Hg 0.000 0.000 0.000 1
Pb1 Pb 0.000 0.500 0.750 1
Pb2 Pb 0.124 0.248 0.373 1

# LaGdSi2, relaxed, DFT GGA-PBE
# DFT total energy: -89.0 eV for the cell shown
# ρ: 5.51 g cm⁻³
# Magnetization: 0.00 μB/atom
data_LaGdSi2
_cell_length_a 5.972
_cell_length_b 15.816
_cell_length_c 4.499
_cell_angle_alpha 90.00
_cell_angle_beta 90.00
_cell_angle_gamma 90.00
_space_group_name_H-M_alt 'C m c m'
_space_group_IT_number 63
_space_group_name_Hall '-C 2c 2'
loop_
_atom_site_label
_atom_site_type_symbol
_atom_site_fract_x
_atom_site_fract_y
_atom_site_fract_z
_atom_site_occupancy
La1 La 0.000 0.173 0.250 1
Gd1 Gd 0.000 0.420 0.250 1
Si1 Si 0.000 0.031 0.750 1
Si2 Si 0.000 0.310 0.750 1

# Ga2PtI2Br6, relaxed, DFT GGA-PBE
# ρ: 3.76 g cm⁻³
# Distance to the lowest polymorph of the same formula: 0.000 eV per atom
# Magnetization: 0.00 μB/atom
data_Ga2PtI2Br6
_cell_length_a 13.427
_cell_length_b 8.977
_cell_length_c 7.959
_cell_angle_alpha 90.00
_cell_angle_beta 100.39
_cell_angle_gamma 90.00
_space_group_name_H-M_alt 'C 1 2/m 1'
_space_group_IT_number 12
_space_group_name_Hall '-C 2y'
loop_
_atom_site_label
_atom_site_type_symbol
_atom_site_fract_x
_atom_site_fract_y
_atom_site_fract_z
_atom_site_occupancy
Ga1 Ga 0.216 0.000 0.332 1
Pt1 Pt 0.000 0.000 0.000 1
I1 I 0.181 0.000 0.631 1
Br1 Br 0.113 0.191 0.150 1
Br2 Br 0.119 0.500 0.711 1